1.
A plane-wave DFT calculation with SCAN was carried out for ScTcIr2 at its PBEsol-relaxed geometry.

Unit cell a=2.801 b=3.867 c=5.642 alpha=90.00 beta=90.00 gamma=90.00
Space group Pmm2 (No. 25)
Unique sites:
Sc 0.000 0.000 0.000 (multiplicity 1)
Tc 0.500 0.500 0.304 (multiplicity 1)
Ir 0.000 0.000 0.492 (multiplicity 1)
Ir 0.500 0.500 0.772 (multiplicity 1)

Summary:
The value obtained for the total magnetization is 0.00 μB/cell. As for the formation energy: -0.34 eV/atom. The value obtained for the volume is 61.11 Å³ per cell.

---

2.
A plane-wave DFT calculation with SCAN was carried out for Sc2TeIr at its PBEsol-relaxed geometry.

Unit cell a=4.721 b=4.721 c=3.446 alpha=90.00 beta=90.00 gamma=90.00
Space group P4/mmm (No. 123)
Unique sites:
Sc 0.000 0.500 0.000 (multiplicity 2)
Te 0.000 0.000 0.500 (multiplicity 1)
Ir 0.500 0.500 0.500 (multiplicity 1)

Summary:
The value obtained for the total magnetization is 0.00 μB/cell. The value obtained for the raw formation energy is -0.77 eV per atom. The value obtained for the volume is 76.81 Å³ per cell.